(1)
Li5ZnAg3 | GGA-PBE | relaxed

Output
DFT formation energy = -0.15 eV/atom
SG = P6_3/mcm

Cell: 7.912 7.912 5.332 Å, 90.00 90.00 120.00°
Element x y z (fractional)
Li 0.000 0.307 0.250
Li 0.000 0.693 0.750
Li 0.307 0.000 0.250
Li 0.307 0.307 0.750
Li 0.333 0.667 0.000
Li 0.333 0.667 0.500
Li 0.667 0.333 0.000
Li 0.667 0.333 0.500
Li 0.693 0.000 0.750
Li 0.693 0.693 0.250
Zn 0.000 0.000 0.000
Zn 0.000 0.000 0.500
Ag 0.000 0.356 0.750
Ag 0.000 0.644 0.250
Ag 0.356 0.000 0.750
Ag 0.356 0.356 0.250
Ag 0.644 0.000 0.250
Ag 0.644 0.644 0.750


(2)
LiZn2Ag6 | GGA-PBE | relaxed

Output
E above lowest polymorph = 0.046 eV/atom
DFT formation energy = -0.01 eV/atom
SG = C2/m

Cell: 8.195 8.195 2.827 Å, 98.72 98.72 56.58°
Element x y z (fractional)
Li 0.000 0.000 0.000
Zn 0.332 0.332 0.332
Zn 0.668 0.668 0.668
Ag 0.020 0.649 0.834
Ag 0.315 0.685 0.500
Ag 0.351 0.980 0.166
Ag 0.649 0.020 0.834
Ag 0.685 0.315 0.500
Ag 0.980 0.351 0.166


(3)
Li4Zn7Ag | GGA-PBE | relaxed

Output
DFT formation energy = -0.17 eV/atom
SG = P-1

Cell: 4.241 6.582 6.620 Å, 74.79 89.40 89.90°
Element x y z (fractional)
Li 0.001 0.161 0.332
Li 0.499 0.580 0.672
Li 0.501 0.420 0.328
Li 0.999 0.839 0.668
Zn 0.000 0.000 0.000
Zn 0.002 0.670 0.341
Zn 0.499 0.085 0.660
Zn 0.499 0.762 0.997
Zn 0.501 0.238 0.003
Zn 0.501 0.915 0.340
Zn 0.998 0.330 0.659
Ag 0.000 0.500 0.000


(4)
LiZn5Ag4 | GGA-PBE | relaxed

Output
E above lowest polymorph = 0.000 eV/atom
DFT formation energy = -0.07 eV/atom
SG = Pmmm

Cell: 2.872 3.901 14.199 Å, 90.00 90.00 90.00°
Element x y z (fractional)
Li 0.000 0.000 0.000
Zn 0.500 0.500 0.094
Zn 0.500 0.500 0.295
Zn 0.500 0.500 0.500
Zn 0.500 0.500 0.705
Zn 0.500 0.500 0.906
Ag 0.000 0.000 0.192
Ag 0.000 0.000 0.397
Ag 0.000 0.000 0.603
Ag 0.000 0.000 0.808


Number 1: magnetic moment 0.0 μB per formula unit. Number 2: magnetic moment 0.0 μB per formula unit. Number 3: magnetic moment 0.0 μB per formula unit. Number 4: magnetic moment 0.0 μB per formula unit.